Compound: ScCoSe3
Source: Alexandria via LeMat-Bulk
Functional: GGA-PBEsol
Structure: relaxed

abc: 5.0235 5.0235 5.0235
angles: 90.00 90.00 90.00
Last column: nearest neighbours and their distance in Å.
Atoms (fractional coordinates):
Sc  0.0000  0.0000  0.0000  6 Se 2.51
Co  0.5000  0.5000  0.5000  12 Se 3.55
Se  0.0000  0.0000  0.5000  2 Sc 2.51
Se  0.0000  0.5000  0.0000  2 Sc 2.51
Se  0.5000  0.0000  0.0000  2 Sc 2.51

total energy = -24.5 eV per cell
ρ = 4.464 g/cm3